--- i ---
Density functional theory data (PBE-GGA) for Ce2HOs after structural relaxation. Values from VASP.

The symmetry is P4/mmm.

The structure in Quantum ESPRESSO input format:
```
&SYSTEM
  ibrav = 0, nat = 4, ntyp = 3
/
ATOMIC_SPECIES
Ce 140.12 Ce.upf
H 1.01 H.upf
Os 190.23 Os.upf
ATOMIC_POSITIONS crystal
Ce 0.000 0.000 0.219
Ce 0.000 0.000 0.781
H 0.500 0.500 0.000
Os 0.500 0.500 0.500
CELL_PARAMETERS angstrom
3.207 0.000 0.000
0.000 3.207 0.000
0.000 0.000 6.724
```

--- ii ---
Density functional theory data (PBE-GGA) for Ce2HOs after structural relaxation. Values from VASP.

The symmetry is Pnma.

The structure in Quantum ESPRESSO input format:
```
&SYSTEM
  ibrav = 0, nat = 16, ntyp = 3
/
ATOMIC_SPECIES
Ce 140.12 Ce.upf
H 1.01 H.upf
Os 190.23 Os.upf
ATOMIC_POSITIONS crystal
Ce 0.068 0.250 0.142
Ce 0.118 0.250 0.595
Ce 0.382 0.750 0.095
Ce 0.432 0.750 0.642
Ce 0.568 0.250 0.358
Ce 0.618 0.250 0.905
Ce 0.882 0.750 0.405
Ce 0.932 0.750 0.858
H 0.072 0.750 0.626
H 0.428 0.250 0.126
H 0.572 0.750 0.874
H 0.928 0.250 0.374
Os 0.181 0.250 0.869
Os 0.319 0.750 0.369
Os 0.681 0.250 0.631
Os 0.819 0.750 0.131
CELL_PARAMETERS angstrom
6.524 0.000 0.000
0.000 4.988 0.000
0.000 0.000 9.370
```

ii is the most stable structure; the next one sits 12 meV/atom above it.

--- i ---
Density functional theory data (PBE-GGA) for Ce4HOs2 after structural relaxation. Values from VASP.

The symmetry is C2/m.

The structure in Quantum ESPRESSO input format:
```
&SYSTEM
  ibrav = 0, nat = 7, ntyp = 3
/
ATOMIC_SPECIES
Ce 140.12 Ce.upf
H 1.01 H.upf
Os 190.23 Os.upf
ATOMIC_POSITIONS crystal
Ce 0.075 0.075 0.355
Ce 0.325 0.325 0.918
Ce 0.675 0.675 0.082
Ce 0.925 0.925 0.645
H 0.000 0.000 0.000
Os 0.349 0.349 0.349
Os 0.651 0.651 0.651
CELL_PARAMETERS angstrom
5.761 -1.907 0.000
5.761 1.907 0.000
-4.825 0.000 6.730
```

--- ii ---
Density functional theory data (PBE-GGA) for Ce4HOs2 after structural relaxation. Values from VASP.

The symmetry is P2/m.

The structure in Quantum ESPRESSO input format:
```
&SYSTEM
  ibrav = 0, nat = 7, ntyp = 3
/
ATOMIC_SPECIES
Ce 140.12 Ce.upf
H 1.01 H.upf
Os 190.23 Os.upf
ATOMIC_POSITIONS crystal
Ce 0.242 0.000 0.334
Ce 0.252 0.500 0.069
Ce 0.748 0.500 0.931
Ce 0.758 0.000 0.666
H 0.000 0.000 0.000
Os 0.252 0.500 0.577
Os 0.748 0.500 0.423
CELL_PARAMETERS angstrom
5.079 0.000 0.000
0.000 4.864 0.000
-0.004 0.000 5.783
```

i is the most stable structure; the next one sits 313 meV/atom above it.

--- i ---
Density functional theory data (PBE-GGA) for Ce2PH4 after structural relaxation. Values from VASP.

The symmetry is P4_2/mnm.

The structure in Quantum ESPRESSO input format:
```
&SYSTEM
  ibrav = 0, nat = 14, ntyp = 3
/
ATOMIC_SPECIES
Ce 140.12 Ce.upf
P 30.97 P.upf
H 1.01 H.upf
ATOMIC_POSITIONS crystal
Ce 0.215 0.215 0.000
Ce 0.285 0.715 0.500
Ce 0.715 0.285 0.500
Ce 0.785 0.785 0.000
P 0.000 0.000 0.500
P 0.500 0.500 0.000
H 0.103 0.658 0.000
H 0.158 0.397 0.500
H 0.342 0.897 0.000
H 0.397 0.158 0.500
H 0.603 0.842 0.500
H 0.658 0.103 0.000
H 0.842 0.603 0.500
H 0.897 0.342 0.000
CELL_PARAMETERS angstrom
6.929 0.000 0.000
0.000 6.929 0.000
0.000 0.000 3.873
```

--- ii ---
Density functional theory data (PBE-GGA) for Ce2PH4 after structural relaxation. Values from VASP.

The symmetry is R-3m.

The structure in Quantum ESPRESSO input format:
```
&SYSTEM
  ibrav = 0, nat = 7, ntyp = 3
/
ATOMIC_SPECIES
Ce 140.12 Ce.upf
P 30.97 P.upf
H 1.01 H.upf
ATOMIC_POSITIONS crystal
Ce 0.247 0.247 0.247
Ce 0.753 0.753 0.753
P 0.000 0.000 0.000
H 0.134 0.134 0.134
H 0.433 0.433 0.433
H 0.567 0.567 0.567
H 0.866 0.866 0.866
CELL_PARAMETERS angstrom
1.939 1.119 7.013
-1.939 1.119 7.013
0.000 -2.239 7.013
```

ii is the most stable structure; the next one sits 48 meV/atom above it.

--- i ---
Density functional theory data (PBE-GGA) for CePH2 after structural relaxation. Values from VASP.

The symmetry is Cmcm.

The structure in Quantum ESPRESSO input format:
```
&SYSTEM
  ibrav = 0, nat = 8, ntyp = 3
/
ATOMIC_SPECIES
Ce 140.12 Ce.upf
P 30.97 P.upf
H 1.01 H.upf
ATOMIC_POSITIONS crystal
Ce 0.164 0.836 0.750
Ce 0.836 0.164 0.250
P 0.120 0.880 0.250
P 0.880 0.120 0.750
H 0.350 0.650 0.518
H 0.350 0.650 0.982
H 0.650 0.350 0.018
H 0.650 0.350 0.482
CELL_PARAMETERS angstrom
1.927 -5.162 0.000
1.927 5.162 0.000
0.000 0.000 5.491
```

--- ii ---
Density functional theory data (PBE-GGA) for CePH2 after structural relaxation. Values from VASP.

The symmetry is R-3m.

The structure in Quantum ESPRESSO input format:
```
&SYSTEM
  ibrav = 0, nat = 4, ntyp = 3
/
ATOMIC_SPECIES
Ce 140.12 Ce.upf
P 30.97 P.upf
H 1.01 H.upf
ATOMIC_POSITIONS crystal
Ce 0.000 0.000 0.000
P 0.500 0.500 0.500
H 0.333 0.333 0.333
H 0.667 0.667 0.667
CELL_PARAMETERS angstrom
2.053 1.185 3.470
-2.053 1.185 3.470
0.000 -2.370 3.470
```

ii is the most stable structure; the next one sits 179 meV/atom above it.

--- i ---
Density functional theory data (PBE-GGA) for Ce2PaH after structural relaxation. Values from VASP.

The symmetry is R3m.

The structure in Quantum ESPRESSO input format:
```
&SYSTEM
  ibrav = 0, nat = 4, ntyp = 3
/
ATOMIC_SPECIES
Ce 140.12 Ce.upf
Pa 231.04 Pa.upf
H 1.01 H.upf
ATOMIC_POSITIONS crystal
Ce 0.000 0.000 0.000
Ce 0.204 0.204 0.204
Pa 0.410 0.410 0.410
H 0.599 0.599 0.599
CELL_PARAMETERS angstrom
1.876 1.083 7.215
-1.876 1.083 7.215
0.000 -2.166 7.215
```

--- ii ---
Density functional theory data (PBE-GGA) for Ce2PaH after structural relaxation. Values from VASP.

The symmetry is R-3m.

The structure in Quantum ESPRESSO input format:
```
&SYSTEM
  ibrav = 0, nat = 4, ntyp = 3
/
ATOMIC_SPECIES
Ce 140.12 Ce.upf
Pa 231.04 Pa.upf
H 1.01 H.upf
ATOMIC_POSITIONS crystal
Ce 0.108 0.108 0.108
Ce 0.892 0.892 0.892
Pa 0.000 0.000 0.000
H 0.500 0.500 0.500
CELL_PARAMETERS angstrom
1.564 0.903 9.245
-1.564 0.903 9.245
0.000 -1.806 9.245
```

--- iii ---
Density functional theory data (PBE-GGA) for Ce2PaH after structural relaxation. Values from VASP.

The symmetry is P4/mmm.

The structure in Quantum ESPRESSO input format:
```
&SYSTEM
  ibrav = 0, nat = 4, ntyp = 3
/
ATOMIC_SPECIES
Ce 140.12 Ce.upf
Pa 231.04 Pa.upf
H 1.01 H.upf
ATOMIC_POSITIONS crystal
Ce 0.000 0.000 0.183
Ce 0.000 0.000 0.817
Pa 0.500 0.500 0.500
H 0.500 0.500 0.000
CELL_PARAMETERS angstrom
3.133 0.000 0.000
0.000 3.133 0.000
0.000 0.000 7.926
```

ii is the most stable structure; the next one sits 17 meV/atom above it.

--- i ---
Density functional theory data (PBE-GGA) for CePaH2 after structural relaxation. Values from VASP.

The symmetry is P4/mmm.

The structure in Quantum ESPRESSO input format:
```
&SYSTEM
  ibrav = 0, nat = 4, ntyp = 3
/
ATOMIC_SPECIES
Ce 140.12 Ce.upf
Pa 231.04 Pa.upf
H 1.01 H.upf
ATOMIC_POSITIONS crystal
Ce 0.000 0.000 0.000
Pa 0.500 0.500 0.000
H 0.000 0.500 0.500
H 0.500 0.000 0.500
CELL_PARAMETERS angstrom
4.219 0.000 0.000
0.000 4.219 0.000
0.000 0.000 2.995
```

--- ii ---
Density functional theory data (PBE-GGA) for CePaH2 after structural relaxation. Values from VASP.

The symmetry is R-3m.

The structure in Quantum ESPRESSO input format:
```
&SYSTEM
  ibrav = 0, nat = 4, ntyp = 3
/
ATOMIC_SPECIES
Ce 140.12 Ce.upf
Pa 231.04 Pa.upf
H 1.01 H.upf
ATOMIC_POSITIONS crystal
Ce 0.000 0.000 0.000
Pa 0.500 0.500 0.500
H 0.247 0.247 0.247
H 0.753 0.753 0.753
CELL_PARAMETERS angstrom
1.730 0.999 5.833
-1.730 0.999 5.833
0.000 -1.998 5.833
```

ii is the most stable structure; the next one sits 347 meV/atom above it.

--- i ---
Density functional theory data (PBE-GGA) for Ce4H2Pb3 after structural relaxation. Values from VASP.

The symmetry is C2/c.

The structure in Quantum ESPRESSO input format:
```
&SYSTEM
  ibrav = 0, nat = 18, ntyp = 3
/
ATOMIC_SPECIES
Ce 140.12 Ce.upf
H 1.01 H.upf
Pb 207.20 Pb.upf
ATOMIC_POSITIONS crystal
Ce 0.111 0.664 0.954
Ce 0.233 0.372 0.396
Ce 0.336 0.889 0.546
Ce 0.372 0.233 0.896
Ce 0.628 0.767 0.104
Ce 0.664 0.111 0.454
Ce 0.767 0.628 0.604
Ce 0.889 0.336 0.046
H 0.139 0.408 0.059
H 0.408 0.139 0.559
H 0.592 0.861 0.441
H 0.861 0.592 0.941
Pb 0.002 0.238 0.583
Pb 0.238 0.002 0.083
Pb 0.495 0.505 0.750
Pb 0.505 0.495 0.250
Pb 0.762 0.998 0.917
Pb 0.998 0.762 0.417
CELL_PARAMETERS angstrom
6.982 -4.896 0.000
6.982 4.896 0.000
-1.855 0.000 6.590
```

--- ii ---
Density functional theory data (PBE-GGA) for Ce4H2Pb3 after structural relaxation. Values from VASP.

The symmetry is C2/m.

The structure in Quantum ESPRESSO input format:
```
&SYSTEM
  ibrav = 0, nat = 9, ntyp = 3
/
ATOMIC_SPECIES
Ce 140.12 Ce.upf
H 1.01 H.upf
Pb 207.20 Pb.upf
ATOMIC_POSITIONS crystal
Ce 0.117 0.117 0.399
Ce 0.296 0.296 0.891
Ce 0.704 0.704 0.109
Ce 0.883 0.883 0.601
H 0.314 0.314 0.634
H 0.686 0.686 0.366
Pb 0.000 0.000 0.000
Pb 0.385 0.385 0.324
Pb 0.615 0.615 0.676
CELL_PARAMETERS angstrom
5.923 -2.336 0.000
5.923 2.336 0.000
-3.944 0.000 8.083
```

ii is the most stable structure; the next one sits 10 meV/atom above it.

--- i ---
Density functional theory data (PBE-GGA) for CeHPb after structural relaxation. Values from VASP.

The symmetry is P-6m2.

The structure in Quantum ESPRESSO input format:
```
&SYSTEM
  ibrav = 0, nat = 3, ntyp = 3
/
ATOMIC_SPECIES
Ce 140.12 Ce.upf
H 1.01 H.upf
Pb 207.20 Pb.upf
ATOMIC_POSITIONS crystal
Ce 0.000 0.000 0.000
H 0.333 0.667 0.000
Pb 0.667 0.333 0.500
CELL_PARAMETERS angstrom
3.844 0.000 0.000
-1.922 3.329 0.000
0.000 0.000 5.192
```

--- ii ---
Density functional theory data (PBE-GGA) for CeHPb after structural relaxation. Values from VASP.

The symmetry is P4/nmm.

The structure in Quantum ESPRESSO input format:
```
&SYSTEM
  ibrav = 0, nat = 6, ntyp = 3
/
ATOMIC_SPECIES
Ce 140.12 Ce.upf
H 1.01 H.upf
Pb 207.20 Pb.upf
ATOMIC_POSITIONS crystal
Ce 0.250 0.250 0.126
Ce 0.750 0.750 0.874
H 0.250 0.750 0.000
H 0.750 0.250 0.000
Pb 0.250 0.250 0.619
Pb 0.750 0.750 0.381
CELL_PARAMETERS angstrom
4.366 0.000 0.000
0.000 4.366 0.000
0.000 0.000 6.686
```

i is the most stable structure; the next one sits 13 meV/atom above it.

--- i ---
Density functional theory data (PBE-GGA) for CeHPb after structural relaxation. Values from VASP.

The symmetry is I4mm.

The structure in Quantum ESPRESSO input format:
```
&SYSTEM
  ibrav = 0, nat = 3, ntyp = 3
/
ATOMIC_SPECIES
Ce 140.12 Ce.upf
H 1.01 H.upf
Pb 207.20 Pb.upf
ATOMIC_POSITIONS crystal
Ce 0.000 0.000 0.000
H 0.543 0.543 0.000
Pb 0.279 0.279 0.000
CELL_PARAMETERS angstrom
-1.657 1.657 5.983
1.657 -1.657 5.983
1.657 1.657 -5.983
```

--- ii ---
Density functional theory data (PBE-GGA) for CeHPb after structural relaxation. Values from VASP.

The symmetry is C2/m.

The structure in Quantum ESPRESSO input format:
```
&SYSTEM
  ibrav = 0, nat = 6, ntyp = 3
/
ATOMIC_SPECIES
Ce 140.12 Ce.upf
H 1.01 H.upf
Pb 207.20 Pb.upf
ATOMIC_POSITIONS crystal
Ce 0.167 0.167 0.139
Ce 0.833 0.833 0.861
H 0.167 0.167 0.942
H 0.833 0.833 0.058
Pb 0.498 0.498 0.630
Pb 0.502 0.502 0.370
CELL_PARAMETERS angstrom
3.128 -1.806 0.000
3.128 1.806 0.000
-0.003 0.000 11.751
```

ii is the most stable structure; the next one sits 29 meV/atom above it.

--- i ---
Density functional theory data (PBE-GGA) for CeH2Pd after structural relaxation. Values from VASP.

The symmetry is R-3m.

The structure in Quantum ESPRESSO input format:
```
&SYSTEM
  ibrav = 0, nat = 4, ntyp = 3
/
ATOMIC_SPECIES
Ce 140.12 Ce.upf
H 1.01 H.upf
Pd 106.42 Pd.upf
ATOMIC_POSITIONS crystal
Ce 0.000 0.000 0.000
H 0.350 0.350 0.350
H 0.650 0.650 0.650
Pd 0.500 0.500 0.500
CELL_PARAMETERS angstrom
2.103 1.214 3.826
-2.103 1.214 3.826
0.000 -2.429 3.826
```

--- ii ---
Density functional theory data (PBE-GGA) for CeH2Pd after structural relaxation. Values from VASP.

The symmetry is P2_1/c.

The structure in Quantum ESPRESSO input format:
```
&SYSTEM
  ibrav = 0, nat = 16, ntyp = 3
/
ATOMIC_SPECIES
Ce 140.12 Ce.upf
H 1.01 H.upf
Pd 106.42 Pd.upf
ATOMIC_POSITIONS crystal
Ce 0.195 0.004 0.290
Ce 0.195 0.496 0.790
Ce 0.805 0.504 0.210
Ce 0.805 0.996 0.710
H 0.001 0.743 0.499
H 0.001 0.757 0.999
H 0.443 0.739 0.108
H 0.443 0.761 0.608
H 0.557 0.239 0.392
H 0.557 0.261 0.892
H 0.999 0.243 0.001
H 0.999 0.257 0.501
Pd 0.345 0.505 0.307
Pd 0.345 0.995 0.807
Pd 0.655 0.005 0.193
Pd 0.655 0.495 0.693
CELL_PARAMETERS angstrom
6.415 0.000 0.000
0.000 5.547 0.000
-0.970 0.000 5.797
```

ii is the most stable structure; the next one sits 59 meV/atom above it.

--- i ---
Density functional theory data (PBE-GGA) for CeHPd after structural relaxation. Values from VASP.

The symmetry is I4mm.

The structure in Quantum ESPRESSO input format:
```
&SYSTEM
  ibrav = 0, nat = 3, ntyp = 3
/
ATOMIC_SPECIES
Ce 140.12 Ce.upf
H 1.01 H.upf
Pd 106.42 Pd.upf
ATOMIC_POSITIONS crystal
Ce 0.000 0.000 0.000
H 0.539 0.539 0.000
Pd 0.317 0.317 0.000
CELL_PARAMETERS angstrom
-1.764 1.764 4.407
1.764 -1.764 4.407
1.764 1.764 -4.407
```

--- ii ---
Density functional theory data (PBE-GGA) for CeHPd after structural relaxation. Values from VASP.

The symmetry is P3m1.

The structure in Quantum ESPRESSO input format:
```
&SYSTEM
  ibrav = 0, nat = 3, ntyp = 3
/
ATOMIC_SPECIES
Ce 140.12 Ce.upf
H 1.01 H.upf
Pd 106.42 Pd.upf
ATOMIC_POSITIONS crystal
Ce 0.000 0.000 0.000
H 0.667 0.333 0.998
Pd 0.333 0.667 0.500
CELL_PARAMETERS angstrom
3.906 0.000 0.000
-1.953 3.383 0.000
0.000 0.000 3.966
```

--- iii ---
Density functional theory data (PBE-GGA) for CeHPd after structural relaxation. Values from VASP.

The symmetry is Pmc2_1.

The structure in Quantum ESPRESSO input format:
```
&SYSTEM
  ibrav = 0, nat = 6, ntyp = 3
/
ATOMIC_SPECIES
Ce 140.12 Ce.upf
H 1.01 H.upf
Pd 106.42 Pd.upf
ATOMIC_POSITIONS crystal
Ce 0.000 0.210 0.000
Ce 0.000 0.790 0.500
H 0.500 0.060 0.693
H 0.500 0.940 0.193
Pd 0.500 0.348 0.496
Pd 0.500 0.652 0.996
CELL_PARAMETERS angstrom
3.482 0.000 0.000
0.000 5.542 0.000
0.000 0.000 4.916
```

iii is the most stable structure; the next one sits 123 meV/atom above it.

--- i ---
Density functional theory data (PBE-GGA) for Ce2HPd after structural relaxation. Values from VASP.

The symmetry is R-3m.

The structure in Quantum ESPRESSO input format:
```
&SYSTEM
  ibrav = 0, nat = 4, ntyp = 3
/
ATOMIC_SPECIES
Ce 140.12 Ce.upf
H 1.01 H.upf
Pd 106.42 Pd.upf
ATOMIC_POSITIONS crystal
Ce 0.103 0.103 0.103
Ce 0.897 0.897 0.897
H 0.500 0.500 0.500
Pd 0.000 0.000 0.000
CELL_PARAMETERS angstrom
1.558 0.900 8.640
-1.558 0.900 8.640
0.000 -1.799 8.640
```

--- ii ---
Density functional theory data (PBE-GGA) for Ce2HPd after structural relaxation. Values from VASP.

The symmetry is P4/mmm.

The structure in Quantum ESPRESSO input format:
```
&SYSTEM
  ibrav = 0, nat = 4, ntyp = 3
/
ATOMIC_SPECIES
Ce 140.12 Ce.upf
H 1.01 H.upf
Pd 106.42 Pd.upf
ATOMIC_POSITIONS crystal
Ce 0.000 0.000 0.201
Ce 0.000 0.000 0.799
H 0.500 0.500 0.000
Pd 0.500 0.500 0.500
CELL_PARAMETERS angstrom
3.274 0.000 0.000
0.000 3.274 0.000
0.000 0.000 6.730
```

ii is the most stable structure; the next one sits 191 meV/atom above it.